# 1
# SmEr4Al3

A relaxed SmEr4Al3 crystal (GGA-PBE, the Alexandria database).

space group	Immm, No. 71
energy	-4.40	eV per atom
formation energy from the elements	-130	meV per atom

Cell and atoms, written as POSCAR:
```
SmEr4Al3
1.0
-0.0360 2.8303 1.7743
-6.1079 -3.1853 4.9573
8.2204 -2.6113 1.1872
Al Er Sm
3 4 1
Direct
0.0000 0.5000 0.0000 Al
0.1844 0.1844 0.3688 Al
0.8156 0.8156 0.6312 Al
0.6416 0.8377 0.2833 Er
0.6417 0.4455 0.2834 Er
0.3583 0.5545 0.7166 Er
0.3584 0.1623 0.7167 Er
0.5000 0.0000 0.0000 Sm
```


# 2
# SmEr7Al5

A relaxed SmEr7Al5 crystal (GGA-PBE, the Alexandria database).

space group	Imm2, No. 44
energy	-4.49	eV per atom
formation energy from the elements	-231	meV per atom

Cell and atoms, written as POSCAR:
```
SmEr7Al5
1.0
-3.0712 5.2296 0.1306
-6.9618 -0.6660 3.8311
1.5172 4.2449 6.5778
Al Sm Er
5 1 7
Direct
0.4940 0.9960 0.5136 Al
0.4940 0.5136 0.9960 Al
0.9964 0.5136 0.9960 Al
0.9964 0.9960 0.5136 Al
0.7375 0.7625 0.7625 Al
0.0118 0.9882 0.9882 Sm
0.3404 0.6596 0.6596 Er
0.5062 0.7991 0.1885 Er
0.5062 0.1885 0.7991 Er
0.9919 0.3464 0.6698 Er
0.2699 0.2301 0.2301 Er
0.6633 0.3367 0.3367 Er
0.9919 0.6698 0.3464 Er
```


# 3
# Sm5Er2Al4

A relaxed Sm5Er2Al4 crystal (GGA-PBE, the Alexandria database).

space group	Immm, No. 71
energy	-3.95	eV per atom
formation energy from the elements	387	meV per atom

Cell and atoms, written as POSCAR:
```
Sm5Er2Al4
1.0
3.4194 0.0000 0.0000
0.0000 9.0915 0.0000
-1.7097 -4.5458 10.7714
Er Al Sm
2 4 5
Direct
0.1185 0.1185 0.2371 Er
0.8815 0.8815 0.7629 Er
0.7517 0.7517 0.5034 Al
0.2483 0.2483 0.4966 Al
0.0000 0.3402 0.0000 Al
0.0000 0.6598 0.0000 Al
0.8355 0.1535 0.6711 Sm
0.5000 0.0000 0.0000 Sm
0.1645 0.4825 0.3289 Sm
0.8355 0.5175 0.6711 Sm
0.1645 0.8465 0.3289 Sm
```


# 4
# SmEr2Al9

A relaxed SmEr2Al9 crystal (GGA-PBE, the Alexandria database).

space group	R-3m, No. 166
ΔE to the lowest computed polymorph	0.40	eV per formula unit
energy	-4.34	eV per atom
formation energy from the elements	-377	meV per atom

Cell and atoms, written as POSCAR:
```
SmEr2Al9
1.0
-2.6425 0.5119 4.8764
2.8958 -0.0691 4.7575
0.9872 8.8380 2.7882
Al Sm Er
9 1 2
Direct
0.4123 0.4123 0.2518 Al
0.3355 0.3355 0.9935 Al
0.5000 0.5000 0.5000 Al
0.5877 0.0764 0.7482 Al
0.9236 0.4123 0.2518 Al
0.4123 0.9236 0.2518 Al
0.0764 0.5877 0.7482 Al
0.5877 0.5877 0.7482 Al
0.6645 0.6645 0.0065 Al
0.0000 0.0000 0.0000 Sm
0.8579 0.8579 0.4264 Er
0.1421 0.1421 0.5736 Er
```


# 5
# Sm5ErAl2

A relaxed Sm5ErAl2 crystal (GGA-PBE, the Alexandria database).

space group	P6_3/mmc, No. 194
ΔE to the lowest computed polymorph	0.25	eV per formula unit
energy	-4.49	eV per atom
formation energy from the elements	-30	meV per atom

Cell and atoms, written as POSCAR:
```
Sm5ErAl2
1.0
5.3715 0.0000 0.0000
-2.6858 4.6519 0.0000
0.0000 0.0000 19.8866
Sm Al Er
10 4 2
Direct
0.3333 0.6667 0.7500 Sm
0.0000 0.0000 0.1559 Sm
0.6667 0.3333 0.4447 Sm
0.3333 0.6667 0.9447 Sm
0.0000 0.0000 0.8441 Sm
0.6667 0.3333 0.0553 Sm
0.6667 0.3333 0.2500 Sm
0.3333 0.6667 0.5553 Sm
0.0000 0.0000 0.6559 Sm
0.0000 0.0000 0.3441 Sm
0.3333 0.6667 0.1014 Al
0.6667 0.3333 0.6014 Al
0.6667 0.3333 0.8986 Al
0.3333 0.6667 0.3986 Al
0.3333 0.6667 0.2500 Er
0.6667 0.3333 0.7500 Er
```


# 6
# Sm2Er8Al

A relaxed Sm2Er8Al crystal (GGA-PBE, the Alexandria database).

space group	C2/m, No. 12
energy	-4.55	eV per atom
formation energy from the elements	-37	meV per atom

Cell and atoms, written as POSCAR:
```
Sm2Er8Al
1.0
5.4341 0.0000 0.0000
0.0000 6.2623 1.2680
-2.7171 -1.2013 9.4734
Er Sm Al
8 2 1
Direct
0.0424 0.7450 0.0849 Er
0.5773 0.3966 0.1546 Er
0.3432 0.1227 0.6864 Er
0.8470 0.8137 0.6940 Er
0.9576 0.2550 0.9151 Er
0.1530 0.1863 0.3060 Er
0.6568 0.8773 0.3136 Er
0.4227 0.6034 0.8454 Er
0.2425 0.6676 0.4849 Sm
0.7575 0.3324 0.5151 Sm
0.5000 0.0000 0.0000 Al
```